Entry 1:
The following is a PBE-GGA calculation of crystalline PmAlOs at its relaxed geometry, from the Alexandria database.

Calculated values
E_form in eV/atom: 0.1340
Energy relative to the lowest polymorph listed for this composition in meV/atom: 504.5
SG: P4_12_12, No. 92
Density of states at the Fermi level in states/eV/f.u.: 0.71

Cell lengths 6.121, 6.121, 8.003 Å; angles 90.00, 90.00, 90.00 degrees
Fractional positions:
Al 0.334 0.666 0.250
Al 0.166 0.166 0.000
Al 0.666 0.334 0.750
Al 0.834 0.834 0.500
Pm 0.783 0.783 0.000
Pm 0.717 0.283 0.250
Pm 0.217 0.217 0.500
Pm 0.283 0.717 0.750
Os 0.948 0.052 0.750
Os 0.448 0.448 0.000
Os 0.552 0.552 0.500
Os 0.052 0.948 0.250

Entry 2:
The following is a PBE-GGA calculation of crystalline PmAl4Os at its relaxed geometry, from the Alexandria database.

Calculated values
E_form in eV/atom: -0.5123
SG: Pmma, No. 51
Density of states at the Fermi level in states/eV/f.u.: 1.96

Cell lengths 4.160, 7.021, 7.783 Å; angles 90.00, 90.00, 90.00 degrees
Fractional positions:
Al 0.500 0.689 0.069
Al 0.000 0.000 0.500
Al 0.500 0.035 0.250
Al 0.500 0.965 0.750
Al 0.500 0.311 0.569
Al 0.500 0.311 0.931
Al 0.000 0.000 0.000
Al 0.500 0.689 0.431
Os 0.000 0.802 0.250
Os 0.000 0.198 0.750
Pm 0.000 0.372 0.250
Pm 0.000 0.628 0.750

Entry 3:
The following is a PBE-GGA calculation of crystalline Pm2AlOs at its relaxed geometry, from the Alexandria database.

Calculated values
E_form in eV/atom: -0.1394
Energy relative to the lowest polymorph listed for this composition in meV/atom: 85.5
SG: P4/mmm, No. 123
Density of states at the Fermi level in states/eV/f.u.: 2.02

Cell lengths 3.576, 3.576, 7.348 Å; angles 90.00, 90.00, 90.00 degrees
Fractional positions:
Os 0.500 0.500 0.000
Al 0.500 0.500 0.500
Pm 0.000 0.000 0.230
Pm 0.000 0.000 0.770

Entry 4:
The following is a PBE-GGA calculation of crystalline PmAl5Os at its relaxed geometry, from the Alexandria database.

Calculated values
E_form in eV/atom: -0.4587
SG: P4/mmm, No. 123
Density of states at the Fermi level in states/eV/f.u.: 3.29

Cell lengths 4.343, 4.343, 7.060 Å; angles 90.00, 90.00, 90.00 degrees
Fractional positions:
Al 0.500 0.000 0.312
Al 0.000 0.500 0.688
Al 0.500 0.000 0.688
Al 0.000 0.500 0.312
Al 0.500 0.500 0.000
Os 0.000 0.000 0.500
Pm 0.000 0.000 0.000

Entry 5:
The following is a PBE-GGA calculation of crystalline PmAl2Os at its relaxed geometry, from the Alexandria database.

Calculated values
E_form in eV/atom: -0.1980
Energy relative to the lowest polymorph listed for this composition in meV/atom: 203.2
SG: Fm-3m, No. 225
Density of states at the Fermi level in states/eV/f.u.: 1.38

Cell lengths 4.663, 4.663, 4.663 Å; angles 60.00, 60.00, 60.00 degrees
Fractional positions:
Al 0.250 0.250 0.250
Al 0.750 0.750 0.750
Os 0.500 0.500 0.500
Pm 0.000 0.000 0.000

Entry 6:
The following is a PBE-GGA calculation of crystalline Pm2AlOs at its relaxed geometry, from the Alexandria database.

Calculated values
E_form in eV/atom: -0.1061
Energy relative to the lowest polymorph listed for this composition in meV/atom: 118.8
SG: Fm-3m, No. 225
Density of states at the Fermi level in states/eV/f.u.: 1.87

Cell lengths 5.080, 5.080, 5.080 Å; angles 60.00, 60.00, 60.00 degrees
Fractional positions:
Pm 0.250 0.250 0.250
Pm 0.750 0.750 0.750
Al 0.000 0.000 0.000
Os 0.500 0.500 0.500